Entry 1:
First-principles (GGA-PBE) data for a relaxed LiScPb crystal, as listed in the Alexandria database.

Cell: 4.5375 4.3507 7.1639 Å, 90.00 108.45 90.00°
Sites, in units of the cell vectors:
Pb  0.1388  0.0000  0.7638
Pb  0.4475  0.0000  0.3790
Sc  0.9754  0.5000  0.4352
Sc  0.2932  0.5000  0.0701
Li  0.6345  0.5000  0.7534
Li  0.7973  0.0000  0.0791

Computed properties:
symmetry = Pm

Entry 2:
First-principles (GGA-PBE) data for a relaxed InCoRu2 crystal, as listed in the Alexandria database.

Cell: 4.0925 2.8285 5.4851 Å, 72.75 90.00 90.00°
Sites, in units of the cell vectors:
Co  0.5000  0.2500  0.2500
In  0.5000  0.7500  0.7500
Ru  0.0000  0.0895  0.0272
Ru  0.0000  0.4105  0.4728

Computed properties:
symmetry = P2/m

Entry 3:
First-principles (GGA-PBE) data for a relaxed CaTaIn2 crystal, as listed in the Alexandria database.

Cell: 5.8838 5.8838 5.8838 Å, 137.15 137.15 62.21°
Sites, in units of the cell vectors:
Ca  0.7500  0.2500  0.5000
In  0.0000  0.0000  0.0000
In  0.2500  0.7500  0.5000
Ta  0.5000  0.5000  0.0000

Computed properties:
symmetry = I-4m2

| no. | energy of formation (eV/atom) |
| --- | --- |
| 1 | -0.282 |
| 2 | 0.335 |
| 3 | 0.257 |